# Nd3Sm3TlIn2

Nd3Sm3TlIn2 after structural relaxation (PBE, the Alexandria database).

Output
Calculated volume, Å³ per cell: 279.3
ΔE_f, eV/atom: -0.30
Calculated density, g/cm3: 7.84
Total magnetization, μB per cell: 0.00
DOS(E_F), states/eV per atom: 1.00

a = 9.1935 Å, b = 9.1935 Å, c = 3.8156 Å
α = 90.00°, β = 90.00°, γ = 120.00°
Space group P-62m (No. 189)
Asymmetric unit:
Nd: 0.0000 0.7128 0.0000 x3
Sm: 0.0000 0.3860 0.5000 x3
Tl: 0.0000 0.0000 0.5000 x1
In: 0.3333 0.6667 0.0000 x2

# NdSmTlIn

NdSmTlIn after structural relaxation (PBE, the Alexandria database).

Output
Calculated volume, Å³ per cell: 463.6
ΔE_f, eV/atom: -0.44
Calculated density, g/cm3: 8.79
Total magnetization, μB per cell: 0.00
DOS(E_F), states/eV per atom: 0.52

a = 7.7393 Å, b = 7.7393 Å, c = 7.7393 Å
α = 90.00°, β = 90.00°, γ = 90.00°
Space group F-43m (No. 216)
Asymmetric unit:
Nd: 0.0000 0.0000 0.0000 x4
Sm: 0.0000 0.0000 0.5000 x4
Tl: 0.2500 0.2500 0.2500 x4
In: 0.2500 0.2500 0.7500 x4

# NdSmTm2In4

NdSmTm2In4 after structural relaxation (PBE, the Alexandria database).

Output
Calculated volume, Å³ per cell: 652.3
ΔE_f, eV/atom: -0.46
Calculated density, g/cm3: 8.34
Total magnetization, μB per cell: 0.00
DOS(E_F), states/eV per atom: 0.48

a = 5.3525 Å, b = 5.3525 Å, c = 26.2902 Å
α = 90.00°, β = 90.00°, γ = 120.00°
Space group R-3m (No. 166, hexagonal axes)
Asymmetric unit:
Nd: 0.0000 0.0000 0.0000 x3
Sm: 0.0000 0.0000 0.5000 x3
Tm: 0.0000 0.0000 0.2500 x6
In: 0.0000 0.0000 0.1256 x6
In: 0.0000 0.0000 0.3756 x6

# Nd2Sm2Tm2In

Nd2Sm2Tm2In after structural relaxation (PBE, the Alexandria database).

Output
Calculated volume, Å³ per cell: 459.0
ΔE_f, eV/atom: -0.03
Calculated density, g/cm3: 7.54
Total magnetization, μB per cell: 0.00
DOS(E_F), states/eV per atom: 1.41

a = 12.2565 Å, b = 3.6802 Å, c = 11.4699 Å
α = 90.00°, β = 117.48°, γ = 90.00°
Space group C2/m (No. 12)
Asymmetric unit:
Nd: 0.0177 0.0000 0.2445 x4
Sm: 0.1850 0.0000 0.5923 x4
Tm: 0.2369 0.0000 0.1175 x4
In: 0.0000 0.5000 0.0000 x2

# Nd6Sm2Tm3In

Nd6Sm2Tm3In after structural relaxation (PBE, the Alexandria database).

Output
Calculated volume, Å³ per cell: 775.9
ΔE_f, eV/atom: -0.04
Calculated density, g/cm3: 7.65
Total magnetization, μB per cell: 0.00
DOS(E_F), states/eV per atom: 1.08

a = 6.1923 Å, b = 10.7456 Å, c = 11.8434 Å
α = 90.00°, β = 100.08°, γ = 90.00°
Space group C2/m (No. 12)
Asymmetric unit:
Nd: 0.2423 0.0000 0.2477 x4
Nd: 0.2470 0.1632 0.7516 x8
Sm: 0.0000 0.3334 0.5000 x4
Tm: 0.0000 0.1672 0.0000 x4
Tm: 0.0000 0.5000 0.0000 x2
In: 0.0000 0.0000 0.5000 x2

# Nd6Sm3Tm2In

Nd6Sm3Tm2In after structural relaxation (PBE, the Alexandria database).

Output
Calculated volume, Å³ per cell: 787.6
ΔE_f, eV/atom: -0.03
Calculated density, g/cm3: 7.46
Total magnetization, μB per cell: 0.00
DOS(E_F), states/eV per atom: 1.25

a = 6.2401 Å, b = 10.8535 Å, c = 11.8233 Å
α = 90.00°, β = 100.40°, γ = 90.00°
Space group C2/m (No. 12)
Asymmetric unit:
Nd: 0.2433 0.1635 0.2430 x8
Nd: 0.2465 0.0000 0.7547 x4
Sm: 0.0000 0.1687 0.5000 x4
Sm: 0.0000 0.5000 0.5000 x2
Tm: 0.0000 0.3340 0.0000 x4
In: 0.0000 0.0000 0.0000 x2

# Nd2SmTmIn2

Nd2SmTmIn2 after structural relaxation (PBE, the Alexandria database).

Output
Calculated volume, Å³ per cell: 361.9
ΔE_f, eV/atom: -0.35
Calculated density, g/cm3: 7.69
Total magnetization, μB per cell: 0.00
DOS(E_F), states/eV per atom: 1.02

a = 5.2551 Å, b = 10.0566 Å, c = 6.8477 Å
α = 90.00°, β = 90.00°, γ = 90.00°
Space group Pmc2_1 (No. 26)
Asymmetric unit:
Nd: 0.0000 0.0423 0.0000 x2
Nd: 0.5000 0.1809 0.2790 x2
Sm: 0.5000 0.4602 0.9219 x2
Tm: 0.0000 0.3183 0.6441 x2
In: 0.0000 0.3671 0.1766 x2
In: 0.5000 0.1497 0.7506 x2

# NdSmYIn

NdSmYIn after structural relaxation (PBE, the Alexandria database).

Output
Calculated volume, Å³ per cell: 481.4
ΔE_f, eV/atom: -0.12
ΔE to the lowest computed polymorph, meV/atom: 18
Calculated density, g/cm3: 6.88
Total magnetization, μB per cell: 5.81
DOS(E_F), states/eV per atom: 1.39

a = 7.8373 Å, b = 7.8373 Å, c = 7.8373 Å
α = 90.00°, β = 90.00°, γ = 90.00°
Space group F-43m (No. 216)
Asymmetric unit:
Nd: 0.0000 0.0000 0.0000 x4
Sm: 0.2500 0.2500 0.2500 x4
Y: 0.2500 0.2500 0.7500 x4
In: 0.0000 0.0000 0.5000 x4

# Nd3Sm2Y6In

Nd3Sm2Y6In after structural relaxation (PBE, the Alexandria database).

Output
Calculated volume, Å³ per cell: 769.5
ΔE_f, eV/atom: -0.05
Calculated density, g/cm3: 5.96
Total magnetization, μB per cell: 0.00
DOS(E_F), states/eV per atom: 1.41

a = 6.1811 Å, b = 10.7091 Å, c = 11.8064 Å
α = 90.00°, β = 100.08°, γ = 90.00°
Space group C2/m (No. 12)
Asymmetric unit:
Nd: 0.0000 0.0000 0.0000 x2
Nd: 0.0000 0.3331 0.0000 x4
Sm: 0.0000 0.1662 0.5000 x4
Y: 0.2442 0.3367 0.7444 x8
Y: 0.2453 0.5000 0.2548 x4
In: 0.0000 0.5000 0.5000 x2

# Nd2Sm6Y3In

Nd2Sm6Y3In after structural relaxation (PBE, the Alexandria database).

Output
Calculated volume, Å³ per cell: 778.1
ΔE_f, eV/atom: -0.05
Calculated density, g/cm3: 6.71
Total magnetization, μB per cell: 0.00
DOS(E_F), states/eV per atom: 1.21

a = 6.1922 Å, b = 10.7428 Å, c = 11.8793 Å
α = 90.00°, β = 100.06°, γ = 90.00°
Space group C2/m (No. 12)
Asymmetric unit:
Nd: 0.0000 0.1662 0.0000 x4
Sm: 0.2427 0.5000 0.7496 x4
Sm: 0.2460 0.3370 0.2495 x8
Y: 0.0000 0.0000 0.5000 x2
Y: 0.0000 0.3331 0.5000 x4
In: 0.0000 0.5000 0.0000 x2

# Nd6Sm3Y2In

Nd6Sm3Y2In after structural relaxation (PBE, the Alexandria database).

Output
Calculated volume, Å³ per cell: 794.7
ΔE_f, eV/atom: -0.04
Calculated density, g/cm3: 6.72
Total magnetization, μB per cell: 0.00
DOS(E_F), states/eV per atom: 1.30

a = 6.2424 Å, b = 10.8643 Å, c = 11.9119 Å
α = 90.00°, β = 100.35°, γ = 90.00°
Space group C2/m (No. 12)
Asymmetric unit:
Nd: 0.2434 0.1630 0.2451 x8
Nd: 0.2446 0.0000 0.7527 x4
Sm: 0.0000 0.1688 0.5000 x4
Sm: 0.0000 0.5000 0.5000 x2
Y: 0.0000 0.3340 0.0000 x4
In: 0.0000 0.0000 0.0000 x2

# NdSmYIn

NdSmYIn after structural relaxation (PBE, the Alexandria database).

Output
Calculated volume, Å³ per cell: 485.6
ΔE_f, eV/atom: -0.14
ΔE to the lowest computed polymorph, meV/atom: 0
Calculated density, g/cm3: 6.82
Total magnetization, μB per cell: 4.14
DOS(E_F), states/eV per atom: 1.56

a = 7.8600 Å, b = 7.8600 Å, c = 7.8600 Å
α = 90.00°, β = 90.00°, γ = 90.00°
Space group F-43m (No. 216)
Asymmetric unit:
Nd: 0.0000 0.0000 0.0000 x4
Sm: 0.0000 0.0000 0.5000 x4
Y: 0.2500 0.2500 0.2500 x4
In: 0.2500 0.2500 0.7500 x4

Q: Look up the calculated density of the seventh one.
A: 7.69 g/cm3